Below is an optimized crystal structure of GaCo2Sn, with properties calculated at the PBE level.

Lattice parameters (Å, degrees): 4.0999 4.0999 3.2667 90.00 90.00 90.00
Fractional coordinates of all 4 atoms:
Ga 0.0000 0.0000 0.0000
Co 0.0000 0.5000 0.5000
Co 0.5000 0.0000 0.5000
Sn 0.5000 0.5000 0.0000

Space group ... P4/mmm (123)
DOS(E_F) ... 0.58 states/eV/atom
Energy of formation ... -21.5 meV per atom